No. 1
A plane-wave DFT calculation with PBE was carried out for an optimized crystal structure of Na2Mn2Br7.

a = 7.7661 Å, b = 7.7661 Å, c = 6.9961 Å
α = 93.15°, β = 93.15°, γ = 116.03°
Closest atoms and distances in Å follow each position.
Positions (direct):
Na 0.1945 0.8055 0.0000  6 Br 2.90-3.23
Na 0.8055 0.1945 0.0000  6 Br 2.90-3.23
Mn 0.2221 0.2221 0.6279  5 Br 2.46-2.63
Mn 0.7779 0.7779 0.3721  5 Br 2.46-2.63
Br 0.0785 0.0785 0.2753  2 Mn 2.62-2.63
Br 0.0984 0.4390 0.7661  1 Mn 2.46
Br 0.4390 0.0984 0.7661  1 Mn 2.46
Br 0.5000 0.5000 0.5000  2 Mn 2.54
Br 0.5610 0.9016 0.2339  1 Mn 2.46
Br 0.9016 0.5610 0.2339  1 Mn 2.46
Br 0.9215 0.9215 0.7247  2 Mn 2.62-2.63

- Space-group type: No. 12
- Distance to the lowest polymorph of the same formula: 0.0000 eV/atom
- E_form (uncorrected): -986 meV per atom


No. 2
A plane-wave DFT calculation with PBE was carried out for an optimized crystal structure of K2Ag2Hg.

a = 5.2200 Å, b = 5.7167 Å, c = 10.4721 Å
α = 90.00°, β = 90.00°, γ = 90.00°
Closest atoms and distances in Å follow each position.
Positions (direct):
K 0.0000 0.0000 0.1958  6 Ag 3.50-3.61, 2 Hg 3.52
K 0.0000 0.0000 0.8042  6 Ag 3.50-3.61, 2 Hg 3.52
K 0.5000 0.5000 0.3042  6 Ag 3.50-3.61, 2 Hg 3.52
K 0.5000 0.5000 0.6958  6 Ag 3.50-3.61, 2 Hg 3.52
Ag 0.0000 0.2517 0.5000  2 Ag 2.84-2.88, 2 Hg 2.98
Ag 0.0000 0.7483 0.5000  2 Ag 2.84-2.88, 2 Hg 2.98
Ag 0.5000 0.2483 0.0000  2 Ag 2.84-2.88, 2 Hg 2.98
Ag 0.5000 0.7517 0.0000  2 Ag 2.84-2.88, 2 Hg 2.98
Hg 0.0000 0.5000 0.0000  4 Ag 2.98
Hg 0.5000 0.0000 0.5000  4 Ag 2.98

- Space-group type: No. 71
- Distance to the lowest polymorph of the same formula: 0.0000 eV/atom
- Formation energy from the elements: -85 meV per atom


No. 3
A plane-wave DFT calculation with PBE was carried out for an optimized crystal structure of Na2SO2.

a = 9.7797 Å, b = 8.5290 Å, c = 7.9112 Å
α = 72.90°, β = 56.46°, γ = 50.64°
Closest atoms and distances in Å follow each position.
Positions (direct):
Na 0.0767 0.2993 0.3728  3 O 2.30-2.47
Na 0.2488 0.6272 0.7007  3 O 2.30-2.47
Na 0.2993 0.0767 0.7512  3 O 2.30-2.47
Na 0.3728 0.7512 0.0767  3 O 2.30-2.47
Na 0.6272 0.2488 0.9233  3 O 2.30-2.47
Na 0.7007 0.9233 0.2488  3 O 2.30-2.47
Na 0.7512 0.3728 0.2993  3 O 2.30-2.47
Na 0.9233 0.7007 0.6272  3 O 2.30-2.47
S 0.0000 0.0000 0.0000  2 O 1.72
S 0.0000 0.0000 0.5000  2 O 1.72
S 0.0000 0.5000 0.0000  2 O 1.72
S 0.5000 0.0000 0.0000  2 O 1.72
O 0.1326 0.4236 0.7461  1 S 1.72
O 0.1978 0.7461 0.4236  1 S 1.72
O 0.2539 0.8022 0.8674  1 S 1.72
O 0.4236 0.1326 0.1978  1 S 1.72
O 0.5764 0.8674 0.8022  1 S 1.72
O 0.7461 0.1978 0.1326  1 S 1.72
O 0.8022 0.2539 0.5764  1 S 1.72
O 0.8674 0.5764 0.2539  1 S 1.72

- Space-group type: No. 70
- E_form (uncorrected): -826 meV per atom


No. 4
A plane-wave DFT calculation with PBE was carried out for an optimized crystal structure of GdErRu.

a = 3.3978 Å, b = 3.3978 Å, c = 13.0054 Å
α = 90.00°, β = 90.00°, γ = 90.00°
Closest atoms and distances in Å follow each position.
Positions (direct):
Gd 0.0000 0.0000 0.0000  4 Ru 2.94
Gd 0.5000 0.5000 0.5000  4 Ru 2.94
Er 0.0000 0.0000 0.2541  4 Ru 2.89
Er 0.5000 0.5000 0.7541  4 Ru 2.89
Ru 0.0000 0.0000 0.6308  4 Er 2.89, 4 Gd 2.94
Ru 0.5000 0.5000 0.1308  4 Er 2.89, 4 Gd 2.94

- Space-group type: No. 107
- Distance to the lowest polymorph of the same formula: 0.0000 eV/atom
- Formation energy from the elements: -336 meV per atom


No. 5
A plane-wave DFT calculation with PBE was carried out for an optimized crystal structure of HfIrS2N.

a = 4.1781 Å, b = 4.1781 Å, c = 4.2292 Å
α = 90.00°, β = 90.00°, γ = 90.00°
Closest atoms and distances in Å follow each position.
Positions (direct):
Hf 0.0000 0.0000 0.0000  2 N 2.11
Ir 0.5000 0.5000 0.0000  4 Hf 2.95, 8 S 2.97
S 0.0000 0.5000 0.5000  2 N 2.09
S 0.5000 0.0000 0.5000  2 N 2.09
N 0.0000 0.0000 0.5000  4 S 2.09, 2 Hf 2.11

- Space-group type: No. 123
- Distance to the lowest polymorph of the same formula: 0.2946 eV/atom
- E_form (uncorrected): 478 meV per atom


No. 6
A plane-wave DFT calculation with PBE was carried out for an optimized crystal structure of TaV12Ge6.

a = 7.2052 Å, b = 7.2052 Å, c = 7.2052 Å
α = 111.01°, β = 111.01°, γ = 111.01°
Closest atoms and distances in Å follow each position.
Positions (direct):
Ta 0.0000 0.0000 0.0000  12 V 2.76-2.89
V 0.1119 0.7373 0.1938  5 Ge 2.57-2.75, 3 V 2.59-2.84
V 0.1938 0.1119 0.7373  5 Ge 2.57-2.75, 3 V 2.59-2.84
V 0.2051 0.4768 0.3316  3 Ge 2.54-2.63, 6 V 2.59-2.80, 1 Ta 2.76
V 0.2627 0.8062 0.8881  5 Ge 2.57-2.75, 3 V 2.59-2.84
V 0.3316 0.2051 0.4768  3 Ge 2.54-2.63, 6 V 2.59-2.80, 1 Ta 2.76
V 0.4768 0.3316 0.2051  3 Ge 2.54-2.63, 6 V 2.59-2.80, 1 Ta 2.76
V 0.5232 0.6684 0.7949  3 Ge 2.54-2.63, 6 V 2.59-2.80, 1 Ta 2.76
V 0.6684 0.7949 0.5232  3 Ge 2.54-2.63, 6 V 2.59-2.80, 1 Ta 2.76
V 0.7373 0.1938 0.1119  5 Ge 2.57-2.75, 3 V 2.59-2.84
V 0.7949 0.5232 0.6684  3 Ge 2.54-2.63, 6 V 2.59-2.80, 1 Ta 2.76
V 0.8062 0.8881 0.2626  5 Ge 2.57-2.75, 3 V 2.59-2.84
V 0.8881 0.2627 0.8062  5 Ge 2.57-2.75, 3 V 2.59-2.84
Ge 0.0654 0.3448 0.5662  8 V 2.54-2.75, 2 Ge 2.82
Ge 0.3448 0.5662 0.0654  8 V 2.54-2.75, 2 Ge 2.82
Ge 0.4338 0.9346 0.6552  8 V 2.54-2.75, 2 Ge 2.82
Ge 0.5662 0.0654 0.3448  8 V 2.54-2.75, 2 Ge 2.82
Ge 0.6552 0.4338 0.9346  8 V 2.54-2.75, 2 Ge 2.82
Ge 0.9346 0.6552 0.4338  8 V 2.54-2.75, 2 Ge 2.82

- Space-group type: No. 148
- Formation energy from the elements: -111 meV per atom


No. 7
A plane-wave DFT calculation with PBE was carried out for an optimized crystal structure of Y3Ho3Tl2.

a = 4.8501 Å, b = 4.8658 Å, c = 9.6701 Å
α = 90.00°, β = 90.00°, γ = 90.00°
Closest atoms and distances in Å follow each position.
Positions (direct):
Y 0.0000 0.0000 0.0000  4 Tl 3.43, 4 Y 3.44, 4 Ho 3.44
Y 0.0000 0.0000 0.5000  8 Ho 3.42-3.44, 4 Tl 3.42
Y 0.5000 0.5000 0.0000  4 Tl 3.43, 4 Ho 3.43, 4 Y 3.44
Ho 0.0000 0.5000 0.2515  2 Ho 3.41, 6 Y 3.42-3.44, 4 Tl 3.44
Ho 0.0000 0.5000 0.7485  2 Ho 3.41, 6 Y 3.42-3.44, 4 Tl 3.44
Ho 0.5000 0.5000 0.5000  4 Ho 3.41, 4 Tl 3.43, 4 Y 3.44
Tl 0.5000 0.0000 0.2502  6 Y 3.42-3.43, 6 Ho 3.43-3.44
Tl 0.5000 0.0000 0.7498  6 Y 3.42-3.43, 6 Ho 3.43-3.44

- Space-group type: No. 47
- Distance to the lowest polymorph of the same formula: 0.0000 eV/atom
- Formation energy from the elements: -183 meV per atom


No. 8
A plane-wave DFT calculation with PBE was carried out for an optimized crystal structure of Na2ScBeO4.

a = 5.7956 Å, b = 5.7956 Å, c = 5.2697 Å
α = 90.00°, β = 90.00°, γ = 90.00°
Closest atoms and distances in Å follow each position.
Positions (direct):
Na 0.0000 0.5000 0.0000  8 O 2.43-2.69, 2 Na 2.63
Na 0.0000 0.5000 0.5000  8 O 2.43-2.69, 2 Na 2.63
Na 0.5000 0.0000 0.0000  8 O 2.43-2.69, 2 Na 2.63
Na 0.5000 0.0000 0.5000  8 O 2.43-2.69, 2 Na 2.63
Sc 0.0000 0.0000 0.0000  4 O 2.03
Sc 0.5000 0.5000 0.5000  4 O 2.03
Be 0.0000 0.0000 0.5000  4 O 1.68
Be 0.5000 0.5000 0.0000  4 O 1.68
O 0.1574 0.1574 0.2963  1 Be 1.68
O 0.1574 0.8426 0.7037  1 Be 1.68
O 0.3426 0.3426 0.7963  1 Be 1.68
O 0.3426 0.6574 0.2037  1 Be 1.68
O 0.6574 0.3426 0.2037  1 Be 1.68
O 0.6574 0.6574 0.7963  1 Be 1.68
O 0.8426 0.1574 0.7037  1 Be 1.68
O 0.8426 0.8426 0.2963  1 Be 1.68

- Space-group type: No. 121
- E_form (uncorrected): -2010 meV per atom


No. 9
A plane-wave DFT calculation with PBE was carried out for an optimized crystal structure of LiGaSn.

a = 5.5103 Å, b = 5.5103 Å, c = 8.6344 Å
α = 90.00°, β = 90.00°, γ = 90.00°
Closest atoms and distances in Å follow each position.
Positions (direct):
Li 0.0000 0.2393 0.0000  4 Sn 2.76-2.86, 2 Li 2.85
Li 0.0000 0.7607 0.5000  4 Sn 2.76-2.86, 2 Li 2.85
Li 0.2393 0.0000 0.7500  4 Sn 2.76-2.86, 2 Li 2.85
Li 0.7607 0.0000 0.2500  4 Sn 2.76-2.86, 2 Li 2.85
Ga 0.2609 0.2609 0.3750  6 Sn 3.15-3.50, 4 Li 3.29, 2 Ga 3.41
Ga 0.2609 0.7391 0.1250  6 Sn 3.15-3.50, 4 Li 3.29, 2 Ga 3.41
Ga 0.7391 0.2609 0.6250  6 Sn 3.15-3.50, 4 Li 3.29, 2 Ga 3.41
Ga 0.7391 0.7391 0.8750  6 Sn 3.15-3.50, 4 Li 3.29, 2 Ga 3.41
Sn 0.2200 0.5000 0.7500  4 Li 2.76-2.86, 2 Sn 3.07
Sn 0.5000 0.2200 0.0000  4 Li 2.76-2.86, 2 Sn 3.07
Sn 0.5000 0.7800 0.5000  4 Li 2.76-2.86, 2 Sn 3.07
Sn 0.7800 0.5000 0.2500  4 Li 2.76-2.86, 2 Sn 3.07

- Space-group type: No. 91
- Formation energy from the elements: -60 meV per atom


No. 10
A plane-wave DFT calculation with PBE was carried out for an optimized crystal structure of RbScP3.

a = 5.0725 Å, b = 5.0725 Å, c = 5.0725 Å
α = 90.00°, β = 90.00°, γ = 90.00°
Closest atoms and distances in Å follow each position.
Positions (direct):
Rb 0.0000 0.0000 0.0000  12 P 3.59
Sc 0.5000 0.5000 0.5000  6 P 2.54
P 0.0000 0.5000 0.5000  2 Sc 2.54
P 0.5000 0.0000 0.5000  2 Sc 2.54
P 0.5000 0.5000 0.0000  2 Sc 2.54

- Space-group type: No. 221
- Distance to the lowest polymorph of the same formula: 0.0000 eV/atom
- Formation energy from the elements: -21 meV per atom


No. 11
A plane-wave DFT calculation with PBE was carried out for an optimized crystal structure of CaRhSe2Br.

a = 5.4701 Å, b = 5.4701 Å, c = 5.4432 Å
α = 90.00°, β = 90.00°, γ = 90.00°
Closest atoms and distances in Å follow each position.
Positions (direct):
Ca 0.0000 0.0000 0.0000  2 Br 2.72, 4 Se 2.74
Rh 0.5000 0.5000 0.5000  8 Se 3.86, 4 Br 3.87
Se 0.0000 0.5000 0.0000  2 Ca 2.74
Se 0.5000 0.0000 0.0000  2 Ca 2.74
Br 0.0000 0.0000 0.5000  2 Ca 2.72

- Space-group type: No. 123
- Distance to the lowest polymorph of the same formula: 0.9529 eV/atom
- E_form (uncorrected): 363 meV per atom


No. 12
A plane-wave DFT calculation with PBE was carried out for an optimized crystal structure of CoIrPt2.

a = 2.7268 Å, b = 3.8630 Å, c = 5.4595 Å
α = 90.00°, β = 90.00°, γ = 90.00°
Closest atoms and distances in Å follow each position.
Positions (direct):
Co 0.0000 0.0000 0.0000  8 Pt 2.71, 2 Co 2.73, 2 Ir 2.73
Ir 0.0000 0.0000 0.5000  2 Ir 2.73, 2 Co 2.73, 8 Pt 2.75
Pt 0.5000 0.5000 0.2443  4 Pt 2.67-2.79, 4 Co 2.71, 4 Ir 2.75
Pt 0.5000 0.5000 0.7557  4 Pt 2.67-2.79, 4 Co 2.71, 4 Ir 2.75

- Space-group type: No. 47
- Distance to the lowest polymorph of the same formula: 0.0543 eV/atom
- Formation energy from the elements: 32 meV per atom


no.,DFT total energy (eV/atom),total moment (μB/f.u.)
1,-3.958,9.000
2,-1.725,0.000
3,-4.163,1.996
4,-9.642,7.073
5,-6.601,0.000
6,-7.952,0.000
7,-4.916,2.200
8,-6.076,1.041
9,-3.041,0.000
10,-4.727,0.000
11,-3.236,3.311
12,-6.981,2.408